No. 1
Here is a geometry-optimized TlSbS2 structure from Alexandria via LeMat-Bulk. Energies are from GGA-PBE.

CIF file:
```
data_TlSbS2
_space_group_name_H-M_alt 'P 1'
_space_group_IT_number 1
_space_group_name_Hall 'P 1'
_cell_length_a 6.287
_cell_length_b 6.586
_cell_length_c 11.953
_cell_angle_alpha 101.66
_cell_angle_beta 96.86
_cell_angle_gamma 104.88
loop_
_atom_site_label
_atom_site_fract_x
_atom_site_fract_y
_atom_site_fract_z
_atom_site_occupancy
S1 0.582 0.185 0.907 1
S2 0.633 0.208 0.381 1
S3 0.418 0.815 0.093 1
Sb1 0.399 0.796 0.843 1
Tl1 0.569 0.304 0.664 1
Tl2 0.431 0.696 0.336 1
S4 0.367 0.792 0.619 1
Sb2 0.601 0.204 0.157 1
Tl3 0.096 0.278 0.914 1
S5 0.001 0.212 0.175 1
S6 0.979 0.813 0.363 1
Sb3 0.031 0.205 0.406 1
S7 0.021 0.187 0.637 1
S8 0.999 0.788 0.825 1
Sb4 0.969 0.795 0.594 1
Tl4 0.904 0.722 0.086 1
```

The calculation puts the calculated total energy at -4.0214 eV per atom. As for the symmetry: P-1. The value obtained for the uncorrected formation energy is -336 meV/atom.


No. 2
Here is a geometry-optimized ZrBiSN2 structure from Alexandria via LeMat-Bulk. Energies are from GGA-PBE.

CIF file:
```
data_ZrBiSN2
_space_group_name_H-M_alt 'P 1'
_space_group_IT_number 1
_space_group_name_Hall 'P 1'
_cell_length_a 4.220
_cell_length_b 4.220
_cell_length_c 5.129
_cell_angle_alpha 90.00
_cell_angle_beta 90.00
_cell_angle_gamma 90.00
loop_
_atom_site_label
_atom_site_fract_x
_atom_site_fract_y
_atom_site_fract_z
_atom_site_occupancy
S1 0.000 0.000 0.500 1
Zr1 0.500 0.500 0.500 1
Bi1 0.000 0.000 0.000 1
N1 0.000 0.500 0.000 1
N2 0.500 0.000 0.000 1
```

The calculation puts the calculated total energy at -5.5150 eV per atom. As for the symmetry: P4/mmm. The value obtained for the uncorrected formation energy is 1126 meV/atom. The value obtained for the energy above the most stable polymorph in this dataset is 4.986 eV/f.u.


No. 3
Here is a geometry-optimized RbCaSn2 structure from Alexandria via LeMat-Bulk. Energies are from GGA-PBE.

CIF file:
```
data_RbCaSn2
_space_group_name_H-M_alt 'P 1'
_space_group_IT_number 1
_space_group_name_Hall 'P 1'
_cell_length_a 5.738
_cell_length_b 5.738
_cell_length_c 5.738
_cell_angle_alpha 60.00
_cell_angle_beta 60.00
_cell_angle_gamma 60.00
loop_
_atom_site_label
_atom_site_fract_x
_atom_site_fract_y
_atom_site_fract_z
_atom_site_occupancy
Sn1 0.250 0.250 0.250 1
Sn2 0.750 0.750 0.750 1
Ca1 0.000 0.000 0.000 1
Rb1 0.500 0.500 0.500 1
```

The calculation puts the calculated total energy at -2.8897 eV per atom. The formation energy comes out at -0.15 eV/atom. As for the symmetry: Fm-3m. The value obtained for the energy above the most stable polymorph in this dataset is 0.000 eV/f.u.


No. 4
Here is a geometry-optimized Ga3CuOs structure from Alexandria via LeMat-Bulk. Energies are from GGA-PBE.

CIF file:
```
data_Ga3CuOs
_space_group_name_H-M_alt 'P 1'
_space_group_IT_number 1
_space_group_name_Hall 'P 1'
_cell_length_a 4.788
_cell_length_b 4.788
_cell_length_c 4.788
_cell_angle_alpha 90.00
_cell_angle_beta 90.00
_cell_angle_gamma 90.00
loop_
_atom_site_label
_atom_site_fract_x
_atom_site_fract_y
_atom_site_fract_z
_atom_site_occupancy
Ga1 0.000 0.000 0.500 1
Ga2 0.500 0.000 0.000 1
Cu1 0.500 0.500 0.500 1
Os1 0.000 0.000 0.000 1
Ga3 0.000 0.500 0.000 1
```

The calculation puts the calculated total energy at -4.4889 eV per atom. The formation energy comes out at 0.39 eV/atom. As for the symmetry: Pm-3m. The value obtained for the energy above the most stable polymorph in this dataset is 0.000 eV/f.u.


No. 5
Here is a geometry-optimized Nb3AlMo structure from Alexandria via LeMat-Bulk. Energies are from GGA-PBE.

CIF file:
```
data_Nb3AlMo
_space_group_name_H-M_alt 'P 1'
_space_group_IT_number 1
_space_group_name_Hall 'P 1'
_cell_length_a 4.826
_cell_length_b 4.826
_cell_length_c 4.826
_cell_angle_alpha 90.00
_cell_angle_beta 90.00
_cell_angle_gamma 90.00
loop_
_atom_site_label
_atom_site_fract_x
_atom_site_fract_y
_atom_site_fract_z
_atom_site_occupancy
Mo1 0.000 0.000 0.000 1
Nb1 0.000 0.500 0.000 1
Nb2 0.000 0.000 0.500 1
Nb3 0.500 0.000 0.000 1
Al1 0.500 0.500 0.500 1
```

The calculation puts the calculated total energy at -7.8015 eV per atom. The formation energy comes out at 1.16 eV/atom. As for the symmetry: Pm-3m. The value obtained for the energy above the most stable polymorph in this dataset is 5.162 eV/f.u.


No. 6
Here is a geometry-optimized ThInGe2Rh5 structure from Alexandria via LeMat-Bulk. Energies are from GGA-PBE.

CIF file:
```
data_ThInGe2Rh5
_space_group_name_H-M_alt 'P 1'
_space_group_IT_number 1
_space_group_name_Hall 'P 1'
_cell_length_a 4.025
_cell_length_b 4.025
_cell_length_c 11.108
_cell_angle_alpha 90.00
_cell_angle_beta 90.00
_cell_angle_gamma 90.00
loop_
_atom_site_label
_atom_site_fract_x
_atom_site_fract_y
_atom_site_fract_z
_atom_site_occupancy
Th1 0.000 0.000 0.500 1
In1 0.000 0.000 0.000 1
Rh1 0.000 0.500 0.835 1
Rh2 0.500 0.000 0.835 1
Rh3 0.000 0.500 0.165 1
Rh4 0.500 0.000 0.165 1
Ge1 0.500 0.500 0.717 1
Rh5 0.500 0.500 0.500 1
Ge2 0.500 0.500 0.283 1
```

The calculation puts the calculated total energy at -6.5980 eV per atom. The formation energy comes out at -0.36 eV/atom. As for the symmetry: P4/mmm.


No. 7
Here is a geometry-optimized TbSm3Hg4 structure from Alexandria via LeMat-Bulk. Energies are from GGA-PBE.

CIF file:
```
data_TbSm3Hg4
_space_group_name_H-M_alt 'P 1'
_space_group_IT_number 1
_space_group_name_Hall 'P 1'
_cell_length_a 3.789
_cell_length_b 7.627
_cell_length_c 9.191
_cell_angle_alpha 114.49
_cell_angle_beta 101.90
_cell_angle_gamma 90.00
loop_
_atom_site_label
_atom_site_fract_x
_atom_site_fract_y
_atom_site_fract_z
_atom_site_occupancy
Sm1 0.202 0.201 0.404 1
Hg1 0.370 0.575 0.740 1
Tb1 0.500 0.000 0.000 1
Hg2 0.630 0.834 0.259 1
Hg3 0.370 0.166 0.741 1
Hg4 0.630 0.425 0.260 1
Sm2 0.000 0.500 0.000 1
Sm3 0.798 0.799 0.596 1
```

The calculation puts the calculated total energy at -2.8291 eV per atom. The formation energy comes out at -0.33 eV/atom. As for the symmetry: Immm. The value obtained for the energy above the most stable polymorph in this dataset is 1.153 eV/f.u.


No. 8
Here is a geometry-optimized AgTe2CI structure from Alexandria via LeMat-Bulk. Energies are from GGA-PBE.

CIF file:
```
data_AgTe2CI
_space_group_name_H-M_alt 'P 1'
_space_group_IT_number 1
_space_group_name_Hall 'P 1'
_cell_length_a 5.503
_cell_length_b 5.503
_cell_length_c 5.582
_cell_angle_alpha 90.00
_cell_angle_beta 90.00
_cell_angle_gamma 90.00
loop_
_atom_site_label
_atom_site_fract_x
_atom_site_fract_y
_atom_site_fract_z
_atom_site_occupancy
Te1 0.000 0.500 0.000 1
Ag1 0.000 0.000 0.000 1
C1 0.500 0.500 0.500 1
Te2 0.500 0.000 0.000 1
I1 0.000 0.000 0.500 1
```

The calculation puts the calculated total energy at -2.1528 eV per atom. As for the symmetry: P4/mmm. The value obtained for the uncorrected formation energy is 1829 meV/atom. The value obtained for the energy above the most stable polymorph in this dataset is 3.552 eV/f.u.


No. 9
Here is a geometry-optimized LiSiB structure from Alexandria via LeMat-Bulk. Energies are from GGA-PBE.

CIF file:
```
data_LiSiB
_space_group_name_H-M_alt 'P 1'
_space_group_IT_number 1
_space_group_name_Hall 'P 1'
_cell_length_a 5.919
_cell_length_b 4.451
_cell_length_c 4.451
_cell_angle_alpha 134.35
_cell_angle_beta 90.00
_cell_angle_gamma 90.00
loop_
_atom_site_label
_atom_site_fract_x
_atom_site_fract_y
_atom_site_fract_z
_atom_site_occupancy
B1 0.642 0.311 0.689 1
Si1 0.804 0.779 0.221 1
Si2 0.196 0.779 0.221 1
Li1 0.000 0.481 0.519 1
B2 0.358 0.311 0.689 1
Li2 0.500 0.028 0.972 1
```

The calculation puts the calculated total energy at -4.7309 eV per atom. As for the symmetry: Amm2. The value obtained for the uncorrected formation energy is -59 meV/atom.


No. 10
Here is a geometry-optimized DyHo3Pb2 structure from Alexandria via LeMat-Bulk. Energies are from GGA-PBE.

CIF file:
```
data_DyHo3Pb2
_space_group_name_H-M_alt 'P 1'
_space_group_IT_number 1
_space_group_name_Hall 'P 1'
_cell_length_a 7.274
_cell_length_b 7.566
_cell_length_c 8.987
_cell_angle_alpha 114.90
_cell_angle_beta 113.87
_cell_angle_gamma 90.00
loop_
_atom_site_label
_atom_site_fract_x
_atom_site_fract_y
_atom_site_fract_z
_atom_site_occupancy
Pb1 0.468 0.644 0.287 1
Pb2 0.819 0.144 0.287 1
Pb3 0.532 0.356 0.713 1
Ho1 0.500 0.250 0.000 1
Ho2 0.208 0.958 0.415 1
Ho3 0.792 0.542 0.585 1
Dy1 0.000 0.500 0.000 1
Ho4 0.500 0.750 0.000 1
Dy2 0.000 0.000 0.000 1
Ho5 0.208 0.458 0.415 1
Pb4 0.181 0.856 0.713 1
Ho6 0.792 0.042 0.585 1
```

The calculation puts the calculated total energy at -4.4243 eV per atom. The formation energy comes out at -0.13 eV/atom. As for the symmetry: Ibam.


No. 11
Here is a geometry-optimized PmPr4Pd4 structure from Alexandria via LeMat-Bulk. Energies are from GGA-PBE.

CIF file:
```
data_PmPr4Pd4
_space_group_name_H-M_alt 'P 1'
_space_group_IT_number 1
_space_group_name_Hall 'P 1'
_cell_length_a 6.097
_cell_length_b 9.144
_cell_length_c 9.144
_cell_angle_alpha 90.00
_cell_angle_beta 90.00
_cell_angle_gamma 90.00
loop_
_atom_site_label
_atom_site_fract_x
_atom_site_fract_y
_atom_site_fract_z
_atom_site_occupancy
Pd1 0.898 0.280 0.880 1
Pd2 0.602 0.780 0.380 1
Pm1 0.500 0.500 0.500 1
Pr1 0.093 0.190 0.588 1
Pd3 0.398 0.380 0.220 1
Pd4 0.102 0.120 0.280 1
Pd5 0.898 0.720 0.120 1
Pr2 0.093 0.810 0.412 1
Pr3 0.593 0.088 0.310 1
Pd6 0.602 0.220 0.620 1
Pr4 0.907 0.588 0.810 1
Pd7 0.398 0.620 0.780 1
Pr5 0.407 0.310 0.912 1
Pd8 0.102 0.880 0.720 1
Pr6 0.907 0.412 0.190 1
Pr7 0.593 0.912 0.690 1
Pm2 0.000 0.000 0.000 1
Pr8 0.407 0.690 0.088 1
```

The calculation puts the calculated total energy at -5.5368 eV per atom. The formation energy comes out at -0.58 eV/atom. As for the symmetry: P4_2/n.


No. 12
Here is a geometry-optimized LiGeHPt2 structure from Alexandria via LeMat-Bulk. Energies are from GGA-PBE.

CIF file:
```
data_LiGeHPt2
_space_group_name_H-M_alt 'P 1'
_space_group_IT_number 1
_space_group_name_Hall 'P 1'
_cell_length_a 3.977
_cell_length_b 3.977
_cell_length_c 3.876
_cell_angle_alpha 90.00
_cell_angle_beta 90.00
_cell_angle_gamma 90.00
loop_
_atom_site_label
_atom_site_fract_x
_atom_site_fract_y
_atom_site_fract_z
_atom_site_occupancy
Pt1 0.000 0.500 0.000 1
H1 0.000 0.000 0.000 1
Pt2 0.500 0.000 0.000 1
Li1 0.000 0.000 0.500 1
Ge1 0.500 0.500 0.500 1
```

The calculation puts the calculated total energy at -4.7652 eV per atom. As for the symmetry: P4/mmm.


no.,M_tot (μB/cell)
1,0.00
2,0.00
3,0.00
4,0.00
5,0.00
6,0.00
7,0.00
8,0.34
9,0.00
10,0.00
11,0.00
12,0.00